Entry 1:
Here is an optimized crystal structure of Li2CdAs2Pd5 from the Alexandria database. Energies are from PBE.

Unit cell a=3.839 b=9.361 c=9.361 alpha=90.00 beta=90.00 gamma=90.00
Atoms (fractional coordinates):
Li 0.000 0.668 0.168
Li 0.000 0.332 0.832
Li 0.000 0.168 0.332
Li 0.000 0.832 0.668
Cd 0.000 0.000 0.000
Cd 0.000 0.500 0.500
As 0.000 0.132 0.632
As 0.000 0.868 0.368
As 0.000 0.632 0.868
As 0.000 0.368 0.132
Pd 0.500 0.205 0.073
Pd 0.500 0.795 0.927
Pd 0.500 0.073 0.795
Pd 0.500 0.705 0.427
Pd 0.500 0.927 0.205
Pd 0.500 0.295 0.573
Pd 0.500 0.573 0.705
Pd 0.500 0.427 0.295
Pd 0.500 0.500 0.000
Pd 0.500 0.000 0.500

**Fermi-level density of states**: 5.139 states/eV/f.u.
**E_form**: -437.6 meV per atom
**Space-group type**: P4/mbm, No. 127


Entry 2:
Here is an optimized crystal structure of HoSi from the Alexandria database. Energies are from PBE.

Unit cell a=4.265 b=6.287 c=6.726 alpha=90.00 beta=108.53 gamma=90.00
Atoms (fractional coordinates):
Si 0.903 0.055 0.806
Si 0.097 0.945 0.194
Si 0.097 0.555 0.194
Si 0.903 0.445 0.806
Ho 0.725 0.750 0.449
Ho 0.275 0.250 0.551
Ho 0.450 0.750 0.901
Ho 0.550 0.250 0.099

**Fermi-level density of states**: 1.556 states/eV/f.u.
**Formation energy from raw total energies**: -155 kJ/mol of formula units
**Space-group type**: Cmcm, No. 63


Entry 3:
Here is an optimized crystal structure of ErScFeRh from the Alexandria database. Energies are from PBE.

Unit cell a=4.612 b=4.612 c=4.612 alpha=60.00 beta=60.00 gamma=60.00
Site moments in Bohr magnetons follow the coordinates.
Atoms (fractional coordinates):
Sc 0.250 0.250 0.250  -0.08
Rh 0.500 0.500 0.500  0.01
Fe 0.000 0.000 0.000  0.43
Er 0.750 0.750 0.750  -0.06

**Fermi-level density of states**: 4.402 states/eV/f.u.
**E_form**: -416.2 meV per atom
**Space-group type**: F-43m, No. 216


Entry 4:
Here is an optimized crystal structure of Sm6Co2N from the Alexandria database. Energies are from PBE.

Unit cell a=6.447 b=7.006 c=9.696 alpha=90.00 beta=88.79 gamma=90.00
Atoms (fractional coordinates):
Sm 0.133 0.050 0.260
Sm 0.173 0.311 0.569
Sm 0.187 0.328 0.937
Sm 0.313 0.828 0.563
Sm 0.327 0.811 0.931
Sm 0.367 0.550 0.240
Sm 0.867 0.950 0.740
Sm 0.827 0.689 0.431
Sm 0.813 0.672 0.063
Sm 0.687 0.172 0.437
Sm 0.673 0.189 0.069
Sm 0.633 0.450 0.760
Co 0.039 0.598 0.761
Co 0.461 0.098 0.739
Co 0.539 0.902 0.261
Co 0.961 0.402 0.239
N 0.500 0.500 0.000
N 0.000 0.000 0.500

**Fermi-level density of states**: 8.804 states/eV/f.u.
**Formation energy from raw total energies**: -334 kJ/mol of formula units
**Space-group type**: P2_1/c, No. 14